VASP calculation (PBE) on a relaxed Sc4W5 crystal. Values from VASP.

```
&SYSTEM
  ibrav = 0, nat = 18, ntyp = 2
/
ATOMIC_SPECIES
Sc 44.96 Sc.upf
W 183.84 W.upf
CELL_PARAMETERS angstrom
8.3023 0.0000 0.0000
-4.1512 7.1900 0.0000
0.0000 0.0000 5.4758
ATOMIC_POSITIONS crystal
Sc 0.0000 0.0000 0.0000
Sc 0.0000 0.0000 0.5000
Sc 0.0000 0.2938 0.2500
Sc 0.0000 0.7062 0.7500
Sc 0.2938 0.0000 0.2500
Sc 0.2938 0.2938 0.7500
Sc 0.7062 0.0000 0.7500
Sc 0.7062 0.7062 0.2500
W 0.0000 0.3994 0.7500
W 0.0000 0.6006 0.2500
W 0.3333 0.6667 0.0000
W 0.3333 0.6667 0.5000
W 0.3994 0.0000 0.7500
W 0.3994 0.3994 0.2500
W 0.6006 0.0000 0.2500
W 0.6006 0.6006 0.7500
W 0.6667 0.3333 0.0000
W 0.6667 0.3333 0.5000
```

Results
Symmetry ... P6_3/mcm (193)
Energy above the most stable polymorph in this dataset ... 0.198 eV per atom



VASP calculation (PBE) on a relaxed ScW crystal. Values from VASP.

```
&SYSTEM
  ibrav = 0, nat = 2, ntyp = 2
/
ATOMIC_SPECIES
Sc 44.96 Sc.upf
W 183.84 W.upf
CELL_PARAMETERS angstrom
2.7874 0.0000 0.0000
0.0000 2.7874 0.0000
0.0000 0.0000 4.7355
ATOMIC_POSITIONS crystal
Sc 0.0000 0.0000 0.0000
W 0.5000 0.5000 0.5000
```

Results
Symmetry ... P4/mmm (123)
Energy above the most stable polymorph in this dataset ... 0.231 eV per atom



VASP calculation (PBE) on a relaxed ScW3 crystal. Values from VASP.

```
&SYSTEM
  ibrav = 0, nat = 4, ntyp = 2
/
ATOMIC_SPECIES
Sc 44.96 Sc.upf
W 183.84 W.upf
CELL_PARAMETERS angstrom
4.7196 -1.3530 0.0000
4.7196 1.3530 0.0000
-0.0484 0.0000 5.3867
ATOMIC_POSITIONS crystal
Sc 0.0000 0.0000 0.0000
W 0.2515 0.2515 0.2503
W 0.5000 0.5000 0.5000
W 0.7485 0.7485 0.7497
```

Results
DFT total energy ... -10.931 eV per atom
Symmetry ... C2/m (12)



VASP calculation (PBE) on a relaxed Sc3W crystal. Values from VASP.

```
&SYSTEM
  ibrav = 0, nat = 4, ntyp = 2
/
ATOMIC_SPECIES
Sc 44.96 Sc.upf
W 183.84 W.upf
CELL_PARAMETERS angstrom
3.0625 -4.4383 0.0000
3.0625 4.4383 0.0000
0.0000 0.0000 3.0261
ATOMIC_POSITIONS crystal
Sc 0.0000 0.0000 0.0000
Sc 0.0000 0.5000 0.5000
Sc 0.5000 0.0000 0.5000
W 0.5000 0.5000 0.0000
```

Results
Symmetry ... Cmmm (65)
Energy above the most stable polymorph in this dataset ... 0.101 eV per atom



VASP calculation (PBE) on a relaxed Sc3W crystal. Values from VASP.

```
&SYSTEM
  ibrav = 0, nat = 4, ntyp = 2
/
ATOMIC_SPECIES
Sc 44.96 Sc.upf
W 183.84 W.upf
CELL_PARAMETERS angstrom
0.0000 3.4378 3.4378
3.4378 0.0000 3.4378
3.4378 3.4378 0.0000
ATOMIC_POSITIONS crystal
Sc 0.0000 0.0000 0.0000
Sc 0.2500 0.2500 0.2500
Sc 0.7500 0.7500 0.7500
W 0.5000 0.5000 0.5000
```

Results
Symmetry ... Fm-3m (225)
Energy above the most stable polymorph in this dataset ... 0.108 eV per atom



VASP calculation (PBE) on a relaxed Sc3W crystal. Values from VASP.

```
&SYSTEM
  ibrav = 0, nat = 4, ntyp = 2
/
ATOMIC_SPECIES
Sc 44.96 Sc.upf
W 183.84 W.upf
CELL_PARAMETERS angstrom
2.9743 0.0000 0.0000
0.0000 4.9145 0.0000
-0.5271 0.0000 5.6528
ATOMIC_POSITIONS crystal
Sc 0.0000 0.0000 0.0000
Sc 0.2786 0.5000 0.7290
Sc 0.7214 0.5000 0.2710
W 0.5000 0.0000 0.5000
```

Results
Symmetry ... P2/m (10)
Energy above the most stable polymorph in this dataset ... 0.088 eV per atom



- Number 4 is which compound?
  Sc3W